[1]
A crystal of Ga2TcHgCl relaxed with PBEsol. Source: Alexandria, functional SCAN.

## Properties
magnetic moment	2.61	μB per formula unit
final energy	-27.89	eV/atom
energy relative to the elements, uncorrected	0.8850	eV/atom
SG	P4/mmm

The structure in POSCAR format:
```
Ga2TcHgCl
1.0
-0.444 -2.729 -3.343
3.904 -2.810 1.776
-3.283 -2.827 2.744
Cl Hg Ga Tc
1 1 2 1
Direct
0.000 0.000 0.000
0.500 0.500 0.500
0.000 0.000 0.500
0.000 0.500 0.000
0.500 0.000 0.000
```

---

[2]
A crystal of GaI2Cl relaxed with PBEsol. Source: Alexandria, functional SCAN.

## Properties
magnetic moment	0.00	μB per formula unit
final energy	-24.67	eV/atom
energy relative to the elements, uncorrected	-0.2187	eV/atom
SG	I-42d

The structure in POSCAR format:
```
GaI2Cl
1.0
6.786 0.090 0.151
-2.362 6.362 -0.151
-2.362 -3.124 5.545
I Ga Cl
4 2 2
Direct
0.058 0.683 0.125
0.942 0.067 0.625
0.442 0.375 0.317
0.558 0.875 0.933
0.000 0.000 0.000
0.500 0.750 0.250
0.000 0.500 0.500
0.500 0.250 0.750
```

---

[3]
A crystal of InGa2Cl7 relaxed with PBEsol. Source: Alexandria, functional SCAN.

## Properties
magnetic moment	0.00	μB per formula unit
final energy	-13.39	eV/atom
energy relative to the elements, uncorrected	-1.1930	eV/atom
SG	Pna2_1

The structure in POSCAR format:
```
InGa2Cl7
1.0
8.940 0.000 0.000
0.000 10.460 0.000
0.000 0.000 11.954
In Ga Cl
4 8 28
Direct
0.628 0.371 0.896
0.128 0.871 0.604
0.872 0.371 0.396
0.372 0.871 0.104
0.619 0.741 0.617
0.936 0.003 0.323
0.381 0.241 0.383
0.436 0.503 0.177
0.881 0.741 0.117
0.564 0.003 0.823
0.064 0.503 0.677
0.119 0.241 0.883
0.240 0.369 0.754
0.805 0.686 0.512
0.866 0.384 0.662
0.545 0.162 0.710
0.983 0.589 0.211
0.461 0.865 0.532
0.195 0.186 0.488
0.695 0.686 0.012
0.134 0.884 0.338
0.483 0.089 0.289
0.517 0.589 0.711
0.740 0.869 0.746
0.455 0.662 0.290
0.045 0.662 0.790
0.660 0.058 0.982
0.160 0.558 0.518
0.366 0.884 0.838
0.305 0.186 0.988
0.539 0.365 0.468
0.634 0.384 0.162
0.961 0.365 0.968
0.260 0.369 0.254
0.039 0.865 0.032
0.760 0.869 0.246
0.340 0.558 0.018
0.955 0.162 0.210
0.840 0.058 0.482
0.017 0.089 0.789
```

---

[4]
A crystal of K2InGaCl6 relaxed with PBEsol. Source: Alexandria, functional SCAN.

## Properties
magnetic moment	0.00	μB per formula unit
final energy	-12.92	eV/atom
energy relative to the elements, uncorrected	-1.4991	eV/atom
SG	Fm-3m

The structure in POSCAR format:
```
K2InGaCl6
1.0
-6.468 1.848 3.145
-6.325 -0.704 -3.827
-4.881 -5.287 1.834
K In Ga Cl
2 1 1 6
Direct
0.750 0.750 0.750
0.250 0.250 0.250
0.500 0.500 0.500
0.000 0.000 0.000
0.740 0.260 0.260
0.740 0.740 0.260
0.260 0.740 0.740
0.740 0.260 0.740
0.260 0.740 0.260
0.260 0.260 0.740
```

---

[5]
A crystal of LaInGaCl2 relaxed with PBEsol. Source: Alexandria, functional SCAN.

## Properties
magnetic moment	0.04	μB per formula unit
final energy	-22.19	eV/atom
energy relative to the elements, uncorrected	-0.4356	eV/atom
SG	P4/mmm

The structure in POSCAR format:
```
LaInGaCl2
1.0
5.027 0.000 0.000
0.000 5.027 0.000
0.000 0.000 5.922
Cl In Ga La
2 1 1 1
Direct
0.000 0.500 0.000
0.500 0.000 0.000
0.500 0.500 0.500
0.000 0.000 0.000
0.000 0.000 0.500
```

---

[6]
A crystal of Ga3IrCl relaxed with PBEsol. Source: Alexandria, functional SCAN.

## Properties
magnetic moment	0.00	μB per formula unit
final energy	-26.25	eV/atom
energy relative to the elements, uncorrected	-0.6266	eV/atom
SG	Pm-3m

The structure in POSCAR format:
```
Ga3IrCl
1.0
4.776 0.000 0.000
0.000 4.776 0.000
0.000 0.000 4.776
Ir Ga Cl
1 3 1
Direct
0.000 0.000 0.000
0.000 0.500 0.000
0.000 0.000 0.500
0.500 0.000 0.000
0.500 0.500 0.500
```

---

[7]
A crystal of GaIrCl3 relaxed with PBEsol. Source: Alexandria, functional SCAN.

## Properties
magnetic moment	3.33	μB per formula unit
final energy	-21.72	eV/atom
energy relative to the elements, uncorrected	0.5531	eV/atom
SG	Pm-3m

The structure in POSCAR format:
```
GaIrCl3
1.0
4.712 0.000 0.000
0.000 4.712 0.000
0.000 0.000 4.712
Ir Ga Cl
1 1 3
Direct
0.500 0.500 0.500
0.000 0.000 0.000
0.000 0.500 0.000
0.000 0.000 0.500
0.500 0.000 0.000
```

---

[8]
A crystal of GaP2IrCl relaxed with PBEsol. Source: Alexandria, functional SCAN.

## Properties
magnetic moment	0.00	μB per formula unit
final energy	-22.86	eV/atom
energy relative to the elements, uncorrected	0.3823	eV/atom
SG	P4/mmm

The structure in POSCAR format:
```
GaP2IrCl
1.0
4.490 0.000 0.000
0.000 4.490 0.000
0.000 0.000 5.311
P Ir Ga Cl
2 1 1 1
Direct
0.000 0.500 0.000
0.500 0.000 0.000
0.000 0.000 0.000
0.500 0.500 0.500
0.000 0.000 0.500
```

---

[9]
A crystal of KGaCl4 relaxed with PBEsol. Source: Alexandria, functional SCAN.

## Properties
magnetic moment	0.00	μB per formula unit
final energy	-11.08	eV/atom
energy relative to the elements, uncorrected	-1.6492	eV/atom
SG	P2_1/c

The structure in POSCAR format:
```
KGaCl4
1.0
7.185 0.205 0.000
-0.279 9.680 0.000
0.000 0.000 9.980
K Ga Cl
4 4 16
Direct
0.817 0.761 0.266
0.683 0.739 0.766
0.183 0.239 0.734
0.317 0.261 0.234
0.247 0.684 0.516
0.253 0.816 0.016
0.753 0.316 0.484
0.747 0.184 0.984
0.328 0.939 0.841
0.172 0.561 0.341
0.672 0.061 0.159
0.828 0.439 0.659
0.507 0.187 0.519
0.993 0.313 0.019
0.493 0.813 0.481
0.007 0.687 0.981
0.508 0.317 0.945
0.992 0.183 0.445
0.492 0.683 0.055
0.008 0.817 0.555
0.319 0.556 0.689
0.181 0.944 0.189
0.681 0.444 0.311
0.819 0.056 0.811
```

---

[10]
A crystal of K3GaCl relaxed with PBEsol. Source: Alexandria, functional SCAN.

## Properties
magnetic moment	0.00	μB per formula unit
final energy	-10.50	eV/atom
energy relative to the elements, uncorrected	-0.6385	eV/atom
SG	Pm-3m

The structure in POSCAR format:
```
K3GaCl
1.0
-2.795 4.943 1.691
-2.857 0.160 -5.188
-4.374 -3.263 2.308
K Ga Cl
3 1 1
Direct
0.000 0.500 0.000
0.000 0.000 0.500
0.500 0.000 0.000
0.500 0.500 0.500
0.000 0.000 0.000
```

---

[11]
A crystal of La10Ga5Cl4 relaxed with PBEsol. Source: Alexandria, functional SCAN.

## Properties
magnetic moment	0.00	μB per formula unit
final energy	-29.89	eV/atom
energy relative to the elements, uncorrected	-1.2208	eV/atom
SG	I4/mcm

The structure in POSCAR format:
```
La10Ga5Cl4
1.0
7.911 0.000 0.000
0.000 7.911 0.000
-3.955 -3.955 15.814
La Ga Cl
20 10 8
Direct
0.895 0.395 0.136
0.129 0.967 0.596
0.871 0.033 0.404
0.741 0.895 0.136
0.348 0.348 0.696
0.371 0.871 0.404
0.605 0.759 0.864
0.533 0.371 0.404
0.241 0.741 0.136
0.848 0.848 0.696
0.652 0.652 0.304
0.467 0.629 0.596
0.629 0.129 0.596
0.259 0.105 0.864
0.967 0.467 0.596
0.759 0.259 0.864
0.395 0.241 0.136
0.105 0.605 0.864
0.033 0.533 0.404
0.152 0.152 0.304
0.247 0.747 0.736
0.989 0.247 0.736
0.747 0.489 0.736
0.253 0.511 0.264
0.011 0.753 0.264
0.511 0.011 0.264
0.753 0.253 0.264
0.750 0.750 0.500
0.250 0.250 0.500
0.489 0.989 0.736
0.945 0.945 0.889
0.861 0.639 0.000
0.139 0.361 0.000
0.639 0.139 0.000
0.445 0.445 0.889
0.555 0.555 0.111
0.055 0.055 0.111
0.361 0.861 0.000
```

---

[12]
A crystal of NaLaGa2Cl relaxed with PBEsol. Source: Alexandria, functional SCAN.

## Properties
magnetic moment	0.02	μB per formula unit
final energy	-17.78	eV/atom
energy relative to the elements, uncorrected	-0.1838	eV/atom
SG	P4/mmm

The structure in POSCAR format:
```
NaLaGa2Cl
1.0
5.452 0.000 0.000
0.000 5.868 0.000
0.000 0.000 5.868
Na Cl Ga La
1 1 2 1
Direct
0.500 0.500 0.500
0.500 0.000 0.000
0.000 0.000 0.500
0.000 0.500 0.000
0.000 0.000 0.000
```

---

[13]
A crystal of LaGaS2Cl relaxed with PBEsol. Source: Alexandria, functional SCAN.

## Properties
magnetic moment	0.19	μB per formula unit
final energy	-18.63	eV/atom
energy relative to the elements, uncorrected	-1.2882	eV/atom
SG	P4/mmm

The structure in POSCAR format:
```
LaGaS2Cl
1.0
-0.909 4.266 -1.669
-2.304 1.085 4.029
4.068 1.607 1.894
S Cl Ga La
2 1 1 1
Direct
0.000 0.000 0.500
0.000 0.500 0.000
0.500 0.000 0.000
0.000 0.000 0.000
0.500 0.500 0.500
```

---

[14]
A crystal of Li4Ga3Si3ClO12 relaxed with PBEsol. Source: Alexandria, functional SCAN.

## Properties
magnetic moment	0.22	μB per formula unit
final energy	-10.00	eV/atom
energy relative to the elements, uncorrected	-2.5479	eV/atom
SG	P-43n

The structure in POSCAR format:
```
Li4Ga3Si3ClO12
1.0
8.497 0.000 0.000
0.000 8.497 0.000
0.000 0.000 8.497
Li Ga Si Cl O
8 6 6 2 24
Direct
0.830 0.830 0.170
0.170 0.170 0.170
0.670 0.670 0.670
0.330 0.670 0.330
0.330 0.330 0.670
0.170 0.830 0.830
0.830 0.170 0.830
0.670 0.330 0.330
0.000 0.750 0.500
0.250 0.500 0.000
0.500 0.000 0.750
0.500 0.000 0.250
0.000 0.250 0.500
0.750 0.500 0.000
0.000 0.500 0.250
0.500 0.750 0.000
0.500 0.250 0.000
0.000 0.500 0.750
0.750 0.000 0.500
0.250 0.000 0.500
0.000 0.000 0.000
0.500 0.500 0.500
0.101 0.626 0.355
0.355 0.101 0.626
0.899 0.626 0.645
0.399 0.855 0.874
0.626 0.645 0.899
0.374 0.355 0.899
0.145 0.874 0.601
0.355 0.899 0.374
0.645 0.101 0.374
0.855 0.874 0.399
0.126 0.399 0.145
0.126 0.601 0.855
0.145 0.126 0.399
0.874 0.399 0.855
0.645 0.899 0.626
0.374 0.645 0.101
0.626 0.355 0.101
0.899 0.374 0.355
0.601 0.145 0.874
0.101 0.374 0.645
0.855 0.126 0.601
0.601 0.855 0.126
0.874 0.601 0.145
0.399 0.145 0.126
```

---

[15]
A crystal of LiGaP2Cl relaxed with PBEsol. Source: Alexandria, functional SCAN.

## Properties
magnetic moment	1.14	μB per formula unit
final energy	-9.32	eV/atom
energy relative to the elements, uncorrected	0.1814	eV/atom
SG	P4/mmm

The structure in POSCAR format:
```
LiGaP2Cl
1.0
4.599 0.000 0.000
0.000 4.599 0.000
0.000 0.000 5.396
P Li Ga Cl
2 1 1 1
Direct
0.000 0.500 0.000
0.500 0.000 0.000
0.500 0.500 0.500
0.000 0.000 0.000
0.000 0.000 0.500
```

---

[16]
A crystal of LiGaSi2Cl relaxed with PBEsol. Source: Alexandria, functional SCAN.

## Properties
magnetic moment	0.00	μB per formula unit
final energy	-8.78	eV/atom
energy relative to the elements, uncorrected	0.5702	eV/atom
SG	P4/mmm

The structure in POSCAR format:
```
LiGaSi2Cl
1.0
-3.371 0.353 -2.495
-2.891 -0.526 3.833
0.010 4.784 0.664
Si Li Ga Cl
2 1 1 1
Direct
0.000 0.000 0.500
0.000 0.500 0.000
0.500 0.000 0.000
0.500 0.500 0.500
0.000 0.000 0.000
```

---

[17]
A crystal of MgGaCl2 relaxed with PBEsol. Source: Alexandria, functional SCAN.

## Properties
magnetic moment	0.00	μB per formula unit
final energy	-9.94	eV/atom
energy relative to the elements, uncorrected	-0.6175	eV/atom
SG	Fm-3m

The structure in POSCAR format:
```
MgGaCl2
1.0
4.922 0.000 0.000
2.461 4.262 0.000
2.461 1.421 4.019
Mg Ga Cl
1 1 2
Direct
0.000 0.000 0.000
0.500 0.500 0.500
0.250 0.250 0.250
0.750 0.750 0.750
```

---

[18]
A crystal of Mg2Ga2Cl relaxed with PBEsol. Source: Alexandria, functional SCAN.

## Properties
magnetic moment	0.00	μB per formula unit
final energy	-10.43	eV/atom
energy relative to the elements, uncorrected	-0.3020	eV/atom
SG	I4/mmm

The structure in POSCAR format:
```
Mg2Ga2Cl
1.0
-0.298 -3.585 -0.777
3.542 -0.484 0.876
-3.613 0.626 7.217
Mg Ga Cl
2 2 1
Direct
0.392 0.392 0.784
0.608 0.608 0.216
0.250 0.750 0.500
0.750 0.250 0.500
0.000 0.000 0.000
```

---

[19]
A crystal of MnGa3Cl relaxed with PBEsol. Source: Alexandria, functional SCAN.

## Properties
magnetic moment	2.84	μB per formula unit
final energy	-15.08	eV/atom
energy relative to the elements, uncorrected	-0.0304	eV/atom
SG	Pm-3m

The structure in POSCAR format:
```
MnGa3Cl
1.0
-3.247 3.036 1.590
-3.416 -2.688 -1.843
-0.280 -2.418 4.045
Mn Ga Cl
1 3 1
Direct
0.000 0.000 0.000
0.000 0.500 0.000
0.000 0.000 0.500
0.500 0.000 0.000
0.500 0.500 0.500
```

---

[20]
A crystal of MnGaS2Cl relaxed with PBEsol. Source: Alexandria, functional SCAN.

## Properties
magnetic moment	5.03	μB per formula unit
final energy	-12.57	eV/atom
energy relative to the elements, uncorrected	-0.2024	eV/atom
SG	P4/mmm

The structure in POSCAR format:
```
MnGaS2Cl
1.0
-1.469 -0.659 4.349
3.954 -2.280 0.990
1.998 4.021 1.284
S Mn Ga Cl
2 1 1 1
Direct
0.000 0.000 0.500
0.000 0.500 0.000
0.500 0.500 0.500
0.000 0.000 0.000
0.500 0.000 0.000
```